A relaxed DyAlZnPt2 crystal. Source: Alexandria, functional PBE.

The structure in POSCAR format:
```
DyAlZnPt2
1.0
-1.949 1.949 6.099
1.949 -1.949 6.099
1.949 1.949 -6.099
Dy Al Zn Pt
1 1 1 2
direct
0.000 0.000 0.000
0.250 0.750 0.500
0.750 0.250 0.500
0.388 0.388 0.000
0.612 0.612 0.000
```

Values from the calculation:
Formation energy (eV/atom): -0.97
Calculated total energy (eV/atom): -5.31
Space-group type: I-4m2, No. 119
Magnetization (μB/f.u.): 0.0